Record 1
# AcDySb2O8, optimized geometry, DFT GGA-PBE
# E_form (uncorrected) = -2224 meV/atom
data_AcDySb2O8
_chemical_formula_sum 'Ac2 Dy2 Sb4 O16'
_cell_length_a 7.592
_cell_length_b 7.592
_cell_length_c 6.933
_cell_angle_alpha 90.00
_cell_angle_beta 90.00
_cell_angle_gamma 90.00
_symmetry_space_group_name_H-M 'I -4 m 2'
_symmetry_Int_Tables_number 119
_symmetry_space_group_name_Hall 'I -4 -2'
loop_
_atom_site_label
_atom_site_type_symbol
_atom_site_fract_x
_atom_site_fract_y
_atom_site_fract_z
_atom_site_occupancy
Ac1 Ac 0.000 0.000 0.000 1
Dy1 Dy 0.000 0.500 0.750 1
Sb1 Sb 0.000 0.000 0.500 1
Sb2 Sb 0.000 0.500 0.250 1
O1 O 0.000 0.193 0.677 1
O2 O 0.000 0.323 0.056 1

Record 2
# SrBe2Pb, optimized geometry, DFT GGA-PBE
# DFT formation energy = 417 meV/atom
data_SrBe2Pb
_chemical_formula_sum 'Sr1 Be2 Pb1'
_cell_length_a 3.319
_cell_length_b 3.319
_cell_length_c 7.650
_cell_angle_alpha 90.00
_cell_angle_beta 90.00
_cell_angle_gamma 90.00
_symmetry_space_group_name_H-M 'P 4 m m'
_symmetry_Int_Tables_number 99
loop_
_symmetry_equiv_pos_as_xyz
'x,y,z'
'-y,x,z'
'-x,-y,z'
'y,-x,z'
'-x,y,z'
'y,x,z'
'x,-y,z'
'-y,-x,z'
loop_
_atom_site_label
_atom_site_type_symbol
_atom_site_fract_x
_atom_site_fract_y
_atom_site_fract_z
_atom_site_occupancy
Sr1 Sr 0.000 0.000 0.000 1
Be1 Be 0.000 0.000 0.391 1
Be2 Be 0.500 0.500 0.298 1
Pb1 Pb 0.500 0.500 0.646 1

Record 3
# LaTbTh2, optimized geometry, DFT GGA-PBE
# E above lowest polymorph = 0 meV per atom
# DFT formation energy = 27 meV/atom
data_LaTbTh2
_chemical_formula_sum 'La2 Tb2 Th4'
_cell_length_a 5.056
_cell_length_b 5.106
_cell_length_c 10.302
_cell_angle_alpha 90.00
_cell_angle_beta 90.07
_cell_angle_gamma 90.00
_symmetry_space_group_name_H-M 'P 1 21/m 1'
_symmetry_Int_Tables_number 11
loop_
_symmetry_equiv_pos_as_xyz
'x,y,z'
'-x,-y,-z'
'-x,y+1/2,-z'
'x,-y+1/2,z'
loop_
_atom_site_label
_atom_site_type_symbol
_atom_site_fract_x
_atom_site_fract_y
_atom_site_fract_z
_atom_site_occupancy
La1 La 0.000 0.250 0.136 1
Tb1 Tb 0.500 0.250 0.863 1
Th1 Th 0.000 0.250 0.620 1
Th2 Th 0.500 0.250 0.383 1

Number 1: Fermi-level density of states 0.0000 states/eV per atom, magnetization 0.00 μB per formula unit. Number 2: Fermi-level density of states 0.4756 states/eV per atom, magnetization 0.00 μB per formula unit. Number 3: Fermi-level density of states 1.6276 states/eV per atom, magnetization 0.00 μB per formula unit.